MgNi2B3 | PBE | optimized geometry

Cell: 4.855 4.855 4.886 Å, 90.00 90.00 76.50°
Positions (direct):
1 Mg 0.175 0.825 0.750
2 Mg 0.825 0.175 0.250
3 Ni 0.285 0.285 0.000
4 Ni 0.285 0.285 0.500
5 Ni 0.715 0.715 0.000
6 Ni 0.715 0.715 0.500
7 B 0.079 0.675 0.250
8 B 0.325 0.921 0.250
9 B 0.432 0.568 0.250
10 B 0.568 0.432 0.750
11 B 0.675 0.079 0.750
12 B 0.921 0.325 0.750

## Properties
Crystal system   orthorhombic
E_form   -0.150 eV/atom
SG   Cmcm
Total magnetization   0.000 μB per atom